(1)
The following is a DFT calculation (PBE) of a relaxed structure of TmScAl2S6.

a b c (Å): 7.284 7.284 7.284
angles (deg): 50.78 50.78 50.78
Positions (direct):
1 Tm 0.000 0.000 0.000
2 Sc 0.500 0.500 0.500
3 Al 0.174 0.174 0.174
4 Al 0.826 0.826 0.826
5 S 0.083 0.781 0.421
6 S 0.219 0.579 0.917
7 S 0.421 0.083 0.781
8 S 0.579 0.917 0.219
9 S 0.781 0.421 0.083
10 S 0.917 0.219 0.579

Computed properties:
Its uncorrected energy is -5.807 eV per atom. The calculation puts the total moment at 0.00 μB per formula unit. The density of states at the Fermi level comes out at 0.000 states/eV/cell.

***

(2)
The following is a DFT calculation (PBE) of a relaxed structure of TmSc2AlS6.

a b c (Å): 6.927 6.927 6.927
angles (deg): 55.65 55.65 55.65
Positions (direct):
1 Tm 0.000 0.000 0.000
2 Sc 0.300 0.300 0.300
3 Sc 0.804 0.804 0.804
4 Al 0.495 0.495 0.495
5 S 0.105 0.692 0.413
6 S 0.225 0.585 0.881
7 S 0.413 0.105 0.692
8 S 0.585 0.881 0.225
9 S 0.692 0.413 0.105
10 S 0.881 0.225 0.585

Computed properties:
Its uncorrected energy is -6.237 eV per atom. The calculation puts the total moment at 0.00 μB per formula unit. The density of states at the Fermi level comes out at 0.000 states/eV/cell.

***

(3)
The following is a DFT calculation (PBE) of a relaxed structure of Y2ScAlS6.

a b c (Å): 6.936 6.936 6.936
angles (deg): 57.16 57.16 57.16
Positions (direct):
1 Y 0.000 0.000 0.000
2 Y 0.500 0.500 0.500
3 Sc 0.795 0.795 0.795
4 Al 0.295 0.295 0.295
5 S 0.075 0.658 0.424
6 S 0.174 0.560 0.938
7 S 0.424 0.075 0.658
8 S 0.560 0.938 0.174
9 S 0.658 0.424 0.075
10 S 0.938 0.174 0.560

Computed properties:
Its uncorrected energy is -6.492 eV per atom. The calculation puts the total moment at 0.00 μB per formula unit. The density of states at the Fermi level comes out at 0.000 states/eV/cell.

***

> Which value of uncorrected energy does entry 3 give?

-6.492 eV per atom

***

Repeat the first record exactly.
The following is a DFT calculation (PBE) of a relaxed structure of TmScAl2S6.

a b c (Å): 7.284 7.284 7.284
angles (deg): 50.78 50.78 50.78
Positions (direct):
1 Tm 0.000 0.000 0.000
2 Sc 0.500 0.500 0.500
3 Al 0.174 0.174 0.174
4 Al 0.826 0.826 0.826
5 S 0.083 0.781 0.421
6 S 0.219 0.579 0.917
7 S 0.421 0.083 0.781
8 S 0.579 0.917 0.219
9 S 0.781 0.421 0.083
10 S 0.917 0.219 0.579

Computed properties:
Its uncorrected energy is -5.807 eV per atom. The calculation puts the total moment at 0.00 μB per formula unit. The density of states at the Fermi level comes out at 0.000 states/eV/cell.